# 1
## BaLiPb2 (GGA-PBEsol)

Data for an optimized crystal structure of BaLiPb2.

* E_form: -0.15 eV/atom

Geometry as extended XYZ:
```
12
Lattice="3.555 0.000 0.000 -1.778 3.079 0.000 0.000 0.000 32.144" Properties=species:S:1:pos:R:3 pbc="T T T"
Ba 0.000 0.000 0.000
Ba 0.000 2.053 21.429
Ba 1.778 1.026 10.715
Li 0.000 0.000 16.072
Li 0.000 2.053 5.357
Li 1.778 1.026 26.787
Pb 0.000 0.000 7.669
Pb 0.000 0.000 24.475
Pb 0.000 2.053 13.760
Pb 0.000 2.053 29.098
Pb 1.778 1.026 3.046
Pb 1.778 1.026 18.384
```

=====

# 2
## BaLiPb2 (GGA-PBEsol)

Data for an optimized crystal structure of BaLiPb2.

* E_form: -0.44 eV/atom

Geometry as extended XYZ:
```
8
Lattice="8.302 0.000 0.000 0.000 4.800 0.000 -2.773 0.000 6.206" Properties=species:S:1:pos:R:3 pbc="T T T"
Ba 0.000 0.000 0.000
Ba 4.151 2.400 0.000
Li -1.387 2.400 3.103
Li 2.764 0.000 3.103
Pb -0.004 0.000 3.983
Pb 1.382 2.400 2.222
Pb 4.147 2.400 3.983
Pb 5.533 0.000 2.222
```

=====

# 3
## BaLi2Pb2 (GGA-PBEsol)

Data for an optimized crystal structure of BaLi2Pb2.

* E_form: -0.42 eV/atom

Geometry as extended XYZ:
```
10
Lattice="4.866 0.000 0.000 0.000 4.866 0.000 0.000 0.000 11.800" Properties=species:S:1:pos:R:3 pbc="T T T"
Ba 0.000 0.000 0.000
Ba 2.433 2.433 5.900
Li 0.000 2.433 2.950
Li 0.000 2.433 8.850
Li 2.433 0.000 2.950
Li 2.433 0.000 8.850
Pb 0.000 0.000 4.420
Pb 0.000 0.000 7.380
Pb 2.433 2.433 1.480
Pb 2.433 2.433 10.320
```

=====

# 4
## BaLiPb2 (GGA-PBEsol)

Data for an optimized crystal structure of BaLiPb2.

* E_form: -0.38 eV/atom

Geometry as extended XYZ:
```
4
Lattice="4.691 0.000 0.000 0.000 4.693 0.000 0.000 0.000 5.981" Properties=species:S:1:pos:R:3 pbc="T T T"
Ba 0.000 0.000 0.000
Li 0.000 2.347 2.815
Pb 2.345 0.000 3.135
Pb 2.345 2.347 1.142
```

=====

# 5
## BaLi2Pb2 (GGA-PBEsol)

Data for an optimized crystal structure of BaLi2Pb2.

* E_form: -0.38 eV/atom

Geometry as extended XYZ:
```
10
Lattice="8.897 0.000 0.000 0.000 8.897 0.000 0.000 0.000 3.280" Properties=species:S:1:pos:R:3 pbc="T T T"
Ba 0.000 0.000 0.000
Ba 4.448 4.448 0.000
Li 1.061 3.387 0.000
Li 3.387 7.835 0.000
Li 5.510 1.061 0.000
Li 7.835 5.510 0.000
Pb 1.504 5.952 1.640
Pb 2.945 1.504 1.640
Pb 5.952 7.393 1.640
Pb 7.393 2.945 1.640
```

=====

# 6
## BaLi4Pb (GGA-PBEsol)

Data for an optimized crystal structure of BaLi4Pb.

* E_form: -0.22 eV/atom

Geometry as extended XYZ:
```
6
Lattice="0.000 4.143 4.143 4.143 0.000 4.143 4.143 4.143 0.000" Properties=species:S:1:pos:R:3 pbc="T T T"
Ba 0.000 0.000 0.000
Li 3.114 3.114 3.114
Li 5.171 5.171 3.114
Li 5.171 3.114 5.171
Li 3.114 5.171 5.171
Pb 6.214 6.214 6.214
```

=====

# 7
## BaLi2Pb (GGA-PBEsol)

Data for an optimized crystal structure of BaLi2Pb.

* E_form: -0.40 eV/atom

Geometry as extended XYZ:
```
12
Lattice="4.928 0.000 0.000 -2.464 4.268 0.000 0.000 0.000 15.688" Properties=species:S:1:pos:R:3 pbc="T T T"
Ba 0.000 0.000 0.000
Ba 0.000 2.845 10.458
Ba 2.464 1.423 5.229
Li 0.000 0.000 3.206
Li 0.000 0.000 12.481
Li 0.000 2.845 7.252
Li 0.000 2.845 13.665
Li 2.464 1.423 2.023
Li 2.464 1.423 8.436
Pb 0.000 0.000 7.844
Pb 0.000 2.845 2.615
Pb 2.464 1.423 13.073
```

=====

# 8
## Ba2LiPb (GGA-PBEsol)

Data for an optimized crystal structure of Ba2LiPb.

* E_form: -0.30 eV/atom

Geometry as extended XYZ:
```
4
Lattice="4.192 0.000 0.000 0.000 4.192 0.000 0.000 0.000 8.977" Properties=species:S:1:pos:R:3 pbc="T T T"
Ba 0.000 0.000 2.089
Ba 0.000 0.000 6.887
Li 2.096 2.096 4.488
Pb 2.096 2.096 0.000
```

=====

# 9
## BaLiPb2 (GGA-PBEsol)

Data for an optimized crystal structure of BaLiPb2.

* E_form: -0.39 eV/atom

Geometry as extended XYZ:
```
4
Lattice="3.837 0.000 0.000 0.000 3.837 0.000 0.000 0.000 7.922" Properties=species:S:1:pos:R:3 pbc="T T T"
Ba 0.000 0.000 0.000
Li 0.000 0.000 3.961
Pb 1.918 1.918 2.416
Pb 1.918 1.918 5.506
```

=====

# 10
## BaLiPb (GGA-PBEsol)

Data for an optimized crystal structure of BaLiPb.

* E_form: -0.29 eV/atom

Geometry as extended XYZ:
```
6
Lattice="3.744 0.000 0.000 0.000 5.166 0.000 0.000 0.000 9.933" Properties=species:S:1:pos:R:3 pbc="T T T"
Ba 0.000 0.000 0.000
Ba 1.872 2.583 4.967
Li 0.000 0.000 6.736
Li 1.872 2.583 1.770
Pb 0.000 0.000 3.402
Pb 1.872 2.583 8.368
```

=====

# 11
## BaLiPb2 (GGA-PBEsol)

Data for an optimized crystal structure of BaLiPb2.

* E_form: -0.23 eV/atom

Geometry as extended XYZ:
```
4
Lattice="4.062 0.000 0.000 0.000 4.062 0.000 0.000 0.000 7.575" Properties=species:S:1:pos:R:3 pbc="T T T"
Ba 0.000 0.000 0.000
Li 2.031 2.031 2.531
Pb 0.000 0.000 3.695
Pb 2.031 2.031 5.357
```

=====

# 12
## BaLiPb2 (GGA-PBEsol)

Data for an optimized crystal structure of BaLiPb2.

* E_form: -0.38 eV/atom

Geometry as extended XYZ:
```
8
Lattice="4.589 0.000 0.000 0.000 4.812 0.000 0.000 0.000 11.916" Properties=species:S:1:pos:R:3 pbc="T T T"
Ba 0.000 0.000 0.000
Ba 2.294 2.406 5.958
Li 0.000 2.406 8.821
Li 2.294 0.000 2.862
Pb 0.000 0.000 7.185
Pb 0.000 2.406 3.234
Pb 2.294 0.000 9.192
Pb 2.294 2.406 1.227
```